6
Lattice="4.425 0.000 0.000 2.213 3.833 0.000 2.213 1.278 9.467" Properties=species:S:1:pos:R:3 comment="HoAlPb PBE relaxed" volume_a3_per_cell=160.6 formation_enthalpy_0k_ev_per_atom=-0.277 pbc="T T T"
Al 2.213 1.278 4.892
Al 6.638 3.833 4.575
Ho 4.425 2.555 2.816
Ho 4.425 2.555 6.651
Pb 6.638 3.833 8.640
Pb 2.213 1.278 0.827